No. 1
Density functional theory data (PBE) for Pa2TcOs3 after structural relaxation.

abc: 5.481 5.481 8.381
angles: 90.00 90.00 120.00
Atoms (fractional coordinates):
Pa1 0.667 0.333 0.425
Pa2 0.333 0.667 0.575
Pa3 0.333 0.667 0.925
Pa4 0.667 0.333 0.075
Tc1 0.000 0.000 0.500
Tc2 0.000 0.000 0.000
Os1 0.171 0.341 0.250
Os2 0.341 0.171 0.750
Os3 0.829 0.659 0.750
Os4 0.171 0.829 0.250
Os5 0.829 0.171 0.750
Os6 0.659 0.829 0.250

E = -10.813 eV per atom
energy relative to the elements = -305 meV per atom

=====

No. 2
Density functional theory data (PBE) for Hf2MgVN after structural relaxation.

abc: 4.528 4.528 3.893
angles: 90.00 90.00 90.00
Atoms (fractional coordinates):
Mg1 0.500 0.500 0.500
N1 0.000 0.000 0.000
Hf1 0.000 0.500 0.000
Hf2 0.500 0.000 0.000
V1 0.000 0.000 0.500

E_form (uncorrected) = -0.583 eV per atom
E = -8.372 eV per atom

=====

No. 3
Density functional theory data (PBE) for HoTmInTc after structural relaxation.

abc: 5.030 5.030 5.030
angles: 60.00 60.00 60.00
Atoms (fractional coordinates):
Tc1 0.500 0.500 0.500
Tm1 0.750 0.750 0.750
Ho1 0.250 0.250 0.250
In1 0.000 0.000 0.000

E = -5.716 eV per atom
energy relative to the elements = -178 meV per atom

=====

No. 4
Density functional theory data (PBE) for BeCuSe after structural relaxation.

abc: 3.485 3.485 4.311
angles: 90.00 90.00 120.00
Atoms (fractional coordinates):
Be1 0.000 0.000 0.960
Cu1 0.667 0.333 0.303
Se1 0.333 0.667 0.736

excess energy over the best structure of this formula in the dataset = 0.00 kcal/mol of atoms
E_form (uncorrected) = 0.122 eV per atom
E = -3.647 eV per atom

=====

No. 5
Density functional theory data (PBE) for PmInFe after structural relaxation.

abc: 4.019 5.304 6.801
angles: 102.39 107.18 90.00
Atoms (fractional coordinates):
Fe1 0.777 0.105 0.553
Fe2 0.223 0.895 0.447
In1 0.579 0.789 0.157
In2 0.421 0.211 0.843
Pm1 0.867 0.682 0.734
Pm2 0.133 0.318 0.266

E = -5.488 eV per atom
energy relative to the elements = -171 meV per atom

=====

No. 6
Density functional theory data (PBE) for NpMoRh after structural relaxation.

abc: 2.964 4.710 7.651
angles: 90.00 90.00 90.00
Atoms (fractional coordinates):
Rh1 0.500 0.000 0.617
Rh2 0.000 0.500 0.383
Np1 0.500 0.000 0.271
Np2 0.000 0.500 0.729
Mo1 0.000 0.000 0.944
Mo2 0.500 0.500 0.056

E = -10.217 eV per atom
energy relative to the elements = 158 meV per atom

=====

What are the spin magnetization values for these records? In order: 0.000 0.000 0.000 0.000 2.404 6.482 μB/cell.